Model 1:
! PrSm2Dy9 | Alexandria via LeMat-Bulk | PBE | relaxed; values from VASP
&SYSTEM
  ibrav = 0, nat = 12, ntyp = 3
/
ATOMIC_SPECIES
Dy 162.50 Dy.upf
Sm 150.36 Sm.upf
Pr 140.91 Pr.upf
ATOMIC_POSITIONS angstrom
Dy 1.761 2.991 1.727
Dy 0.000 2.823 4.889
Dy 1.761 8.301 1.727
Dy 0.000 5.646 0.000
Dy 1.761 0.000 3.454
Dy 0.000 -2.823 4.889
Dy 1.761 5.646 6.325
Dy 1.761 -2.655 8.052
Dy 1.761 2.655 8.052
Sm 0.000 5.646 3.260
Sm 0.000 0.000 6.519
Pr 0.000 0.000 0.000
CELL_PARAMETERS angstrom
3.522 0.000 0.000
0.000 11.292 0.000
0.000 -5.646 9.779
! Total moment, μB per formula unit: 0.00
! N(E_F), states/eV/atom: 1.428

Model 2:
! PrSm2Dy9 | Alexandria via LeMat-Bulk | PBE | relaxed; values from VASP
&SYSTEM
  ibrav = 0, nat = 12, ntyp = 3
/
ATOMIC_SPECIES
Dy 162.50 Dy.upf
Sm 150.36 Sm.upf
Pr 140.91 Pr.upf
ATOMIC_POSITIONS angstrom
Dy 2.524 0.000 7.569
Dy 2.524 2.524 0.000
Dy 2.524 0.000 12.595
Dy 0.000 2.524 12.595
Dy 0.000 2.524 7.569
Dy 2.524 0.000 2.544
Dy 2.524 2.524 10.080
Dy 0.000 2.524 2.544
Dy 2.524 2.524 5.059
Sm 0.000 0.000 10.085
Sm 0.000 0.000 5.054
Pr 0.000 0.000 0.000
CELL_PARAMETERS angstrom
5.048 0.000 0.000
0.000 5.048 0.000
0.000 0.000 15.139
! Total moment, μB per formula unit: 0.00
! N(E_F), states/eV/atom: 1.447

Calculated relative energies: model 1 28; model 2 0, given in meV/atom

Model 1:
! PrSm4Dy5 | Alexandria via LeMat-Bulk | PBE | relaxed; values from VASP
&SYSTEM
  ibrav = 0, nat = 10, ntyp = 3
/
ATOMIC_SPECIES
Dy 162.50 Dy.upf
Sm 150.36 Sm.upf
Pr 140.91 Pr.upf
ATOMIC_POSITIONS angstrom
Dy 4.259 0.000 0.000
Dy 5.947 0.544 2.771
Dy 9.082 2.771 6.758
Dy 5.947 6.758 4.530
Dy 2.812 4.530 0.544
Sm 9.120 5.087 4.451
Sm 5.985 2.850 5.087
Sm 5.985 4.451 2.214
Sm 2.850 2.214 2.850
Pr 1.376 0.000 0.000
CELL_PARAMETERS angstrom
6.270 0.000 0.000
3.135 7.301 0.000
3.135 0.000 7.301
! Total moment, μB per formula unit: 0.00
! N(E_F), states/eV/atom: 1.391

Model 2:
! PrSm4Dy5 | Alexandria via LeMat-Bulk | PBE | relaxed; values from VASP
&SYSTEM
  ibrav = 0, nat = 10, ntyp = 3
/
ATOMIC_SPECIES
Sm 150.36 Sm.upf
Dy 162.50 Dy.upf
Pr 140.91 Pr.upf
ATOMIC_POSITIONS angstrom
Sm -3.075 -0.187 0.619
Sm -12.291 -2.103 1.285
Sm -6.555 -2.349 3.568
Sm -8.811 0.058 -1.664
Dy -5.622 1.611 -1.121
Dy -9.112 -0.570 1.852
Dy -3.346 -0.803 4.116
Dy -6.254 -1.721 0.052
Dy -12.020 -1.487 -2.213
Pr 0.155 1.353 1.172
CELL_PARAMETERS angstrom
0.309 2.707 2.343
-11.554 0.516 -4.586
-4.122 -5.514 4.146
! Total moment, μB per formula unit: 0.00
! N(E_F), states/eV/atom: 1.306

Calculated relative energies: model 1 267; model 2 0, given in meV/atom

Model 1:
! Pr2Sm3Dy6 | Alexandria via LeMat-Bulk | PBE | relaxed; values from VASP
&SYSTEM
  ibrav = 0, nat = 11, ntyp = 3
/
ATOMIC_SPECIES
Pr 140.91 Pr.upf
Dy 162.50 Dy.upf
Sm 150.36 Sm.upf
ATOMIC_POSITIONS angstrom
Pr 4.183 -8.388 -0.889
Pr 2.489 -6.682 -3.520
Dy 5.627 -5.716 -4.904
Dy 7.323 -7.424 -2.275
Dy 4.936 -9.159 -4.285
Dy 2.423 -2.468 -0.742
Dy 1.735 -5.911 -0.124
Dy 1.044 -9.354 0.496
Sm 0.000 0.000 0.000
Sm -0.674 -3.430 0.634
Sm -1.397 -6.896 1.227
CELL_PARAMETERS angstrom
1.004 -5.149 3.252
-3.075 -5.178 -1.392
8.742 -4.744 -6.269
! Total moment, μB per formula unit: 0.00
! N(E_F), states/eV/atom: 1.519

Model 2:
! Pr2Sm3Dy6 | Alexandria via LeMat-Bulk | PBE | relaxed; values from VASP
&SYSTEM
  ibrav = 0, nat = 11, ntyp = 3
/
ATOMIC_SPECIES
Dy 162.50 Dy.upf
Sm 150.36 Sm.upf
Pr 140.91 Pr.upf
ATOMIC_POSITIONS angstrom
Dy 5.129 6.119 10.095
Dy 2.103 1.206 6.923
Dy -0.352 1.204 4.553
Dy 2.675 6.117 7.725
Dy 2.883 0.982 3.609
Dy 1.894 6.341 11.039
Sm 0.000 0.000 0.000
Sm 1.775 4.059 5.126
Sm 3.003 3.264 9.522
Pr 3.974 9.089 11.478
Pr 0.804 -1.765 3.170
CELL_PARAMETERS angstrom
-2.838 -2.473 2.940
3.632 -2.917 1.052
3.983 12.713 10.655
! Total moment, μB per formula unit: 0.00
! N(E_F), states/eV/atom: 1.464

Calculated relative energies: model 1 0; model 2 78, given in meV/atom